## Sr3InW (PBE)

Data for a relaxed Sr3InW crystal.

Lattice parameters (Å, degrees): 6.2483 6.2483 6.2483 90.00 90.00 90.00
Last column: nearest neighbours and their distance in Å.
Sites, in units of the cell vectors:
1 Sr 0.0000 0.0000 0.5000  2 In 3.12
2 Sr 0.0000 0.5000 0.0000  2 In 3.12
3 Sr 0.5000 0.0000 0.0000  2 In 3.12
4 In 0.0000 0.0000 0.0000  6 Sr 3.12
5 W 0.5000 0.5000 0.5000  12 Sr 4.42

Output
- DOS at the Fermi energy (states/eV per atom) = 0.795
- E_form (eV per atom) = 1.20
- calculated density (g cm⁻³) = 3.82
- total energy (eV/cell) = -14.75
- offset from the most stable computed form (meV/atom) = 272